Entry from Alexandria: a relaxed La2Pr3Y crystal (PBE-GGA).

Computed properties:
Polymorph energy (0 for the lowest one)   0.00 kcal/mol of atoms
N(E_F)   9.373 states/eV/f.u.
DFT formation energy   0.3 eV/f.u.
Total magnetic moment   0.0 μB per formula unit
Energy   -60.77 eV for the cell shown

abc: 6.8827 6.8827 9.2997
angles: 97.78 97.78 95.28
Last column: nearest neighbours and their distance in Å.
Positions (direct):
1 La 0.1206 0.6280 0.8763  2 La 3.57-3.63, 9 Pr 3.81-3.88, 3 Y 3.81-3.85
2 La 0.3720 0.8794 0.6237  2 La 3.57-3.63, 9 Pr 3.81-3.88, 3 Y 3.81-3.85
3 La 0.6280 0.1206 0.3763  2 La 3.57-3.63, 9 Pr 3.81-3.88, 3 Y 3.81-3.85
4 La 0.8794 0.3720 0.1237  2 La 3.57-3.63, 9 Pr 3.81-3.88, 3 Y 3.81-3.85
5 Pr 0.1689 0.3369 0.4998  3 Pr 3.38-3.58, 2 Y 3.41-3.62
6 Pr 0.3369 0.1689 0.9998  3 Pr 3.38-3.58, 2 Y 3.41-3.62
7 Pr 0.4161 0.5839 0.2500  4 Pr 3.38-3.58, 1 Y 3.38
8 Pr 0.5839 0.4161 0.7500  4 Pr 3.38-3.58, 1 Y 3.38
9 Pr 0.6631 0.8311 0.0002  3 Pr 3.38-3.58, 2 Y 3.41-3.62
10 Pr 0.8311 0.6631 0.5002  3 Pr 3.38-3.58, 2 Y 3.41-3.62
11 Y 0.0834 0.9166 0.2500  5 Pr 3.38-3.62
12 Y 0.9166 0.0834 0.7500  5 Pr 3.38-3.62